w.
{"formula": "LaTl2Sb", "functional": "PBE", "state": "relaxed", "cell": [[2.0213, -2.8694, 0.0000], [2.0213, 2.8694, 0.0000], [0.0000, 0.0000, 10.4292]], "species": ["La", "Tl", "Tl", "Sb"], "fractional_positions": [[0.0000, 0.0000, 0.0000], [0.5000, 0.5000, 0.2608], [0.5000, 0.5000, 0.7392], [0.0000, 0.0000, 0.5000]], "sg": "Cmmm", "density_g_cm3": 9.189}

---

x.
{"formula": "LaTl2Sb", "functional": "PBE", "state": "relaxed", "cell": [[4.2742, 0.0000, 0.0000], [0.0000, 4.2742, 0.0000], [0.0000, 0.0000, 6.9034]], "species": ["La", "Tl", "Tl", "Sb"], "fractional_positions": [[0.0000, 0.0000, 0.0000], [0.0000, 0.0000, 0.4781], [0.5000, 0.5000, 0.7064], [0.5000, 0.5000, 0.1848]], "sg": "P4mm", "density_g_cm3": 8.814}

---

Going by the energies, x is most stable and the next is 0.409 eV/atom up.

---

w.
{"formula": "LaTl2Sb", "functional": "PBE", "state": "relaxed", "cell": [[3.5141, 0.0000, 0.0000], [0.0000, 3.5141, 0.0000], [0.0000, 0.0000, 10.0480]], "species": ["La", "Tl", "Tl", "Sb"], "fractional_positions": [[0.0000, 0.0000, 0.0000], [0.0000, 0.0000, 0.5106], [0.5000, 0.5000, 0.7560], [0.5000, 0.5000, 0.2320]], "sg": "P4mm", "density_g_cm3": 8.959}

---

x.
{"formula": "LaTl2Sb", "functional": "PBE", "state": "relaxed", "cell": [[-2.4152, 2.4176, 5.0310], [2.4152, -2.4176, 5.0310], [2.4152, 2.4176, -5.0310]], "species": ["La", "Tl", "Tl", "Sb"], "fractional_positions": [[0.0000, 0.0000, 0.0000], [0.4988, 0.4988, 0.0000], [0.7496, 0.2496, 0.5000], [0.2499, 0.7499, 0.5000]], "sg": "Imm2", "density_g_cm3": 9.460}

---

Going by the energies, x is most stable and the next is 0.225 eV/atom up.

---

w.
{"formula": "LaTl2Sb", "functional": "PBE", "state": "relaxed", "cell": [[0.0000, 3.9332, 3.9332], [3.9332, 0.0000, 3.9332], [3.9332, 3.9332, 0.0000]], "species": ["La", "Tl", "Tl", "Sb"], "fractional_positions": [[0.0000, 0.0000, 0.0000], [0.5000, 0.5000, 0.5000], [0.7500, 0.7500, 0.7500], [0.2500, 0.2500, 0.2500]], "sg": "F-43m", "density_g_cm3": 9.134}

---

x.
{"formula": "LaTl2Sb", "functional": "PBE", "state": "relaxed", "cell": [[4.7638, 0.0000, 0.0000], [0.0000, 4.7638, 0.0000], [0.0000, 0.0000, 5.1860]], "species": ["La", "Tl", "Tl", "Sb"], "fractional_positions": [[0.0000, 0.0000, 0.0000], [0.0000, 0.5000, 0.5000], [0.5000, 0.0000, 0.5000], [0.5000, 0.5000, 0.0000]], "sg": "P4/mmm", "density_g_cm3": 9.445}

---

Going by the energies, x is most stable and the next is 0.173 eV/atom up.